Record 1
Crystalline CaCe2Te4 at its relaxed geometry. Source: the Alexandria database, functional PBE.

Cell lengths 7.6889, 7.6889, 15.3950 Å; angles 90.00, 90.00, 146.55 degrees
Positions (direct):
Ca 0.1161 0.8839 0.7500
Ca 0.8839 0.1161 0.2500
Ce 0.3659 0.6341 0.5701
Ce 0.3659 0.6341 0.9299
Ce 0.6341 0.3659 0.0701
Ce 0.6341 0.3659 0.4299
Te 0.0000 0.0000 0.0000
Te 0.0000 0.0000 0.5000
Te 0.2779 0.7221 0.1218
Te 0.2779 0.7221 0.3782
Te 0.4631 0.5369 0.7500
Te 0.5369 0.4631 0.2500
Te 0.7221 0.2779 0.6218
Te 0.7221 0.2779 0.8782

For the density of states at the Fermi level, the calculation gives 29.31 states/eV per cell. The energy relative to the lowest polymorph listed for this composition is 0.058 eV/atom. As for the volume: 501.7 Å³/cell. As for the raw formation energy: -1.37 eV/atom.


Record 2
Crystalline KHgCl2 at its relaxed geometry. Source: the Alexandria database, functional PBE.

Cell lengths 5.4466, 5.4466, 5.4466 Å; angles 60.00, 60.00, 60.00 degrees
Positions (direct):
K 0.0000 0.0000 0.0000
Hg 0.2500 0.2500 0.2500
Cl 0.5000 0.5000 0.5000
Cl 0.7500 0.7500 0.7500

For the density of states at the Fermi level, the calculation gives 4.44 states/eV per cell. The energy relative to the lowest polymorph listed for this composition is 0.416 eV/atom. As for the volume: 114.2 Å³/cell. As for the raw formation energy: -0.67 eV/atom.


Record 3
Crystalline CaTmPd at its relaxed geometry. Source: the Alexandria database, functional PBE.

Cell lengths 4.0146, 4.0146, 6.5019 Å; angles 90.00, 90.00, 120.00 degrees
Positions (direct):
Ca 0.0000 0.0000 0.0000
Tm 0.3333 0.6667 0.4993
Pd 0.6667 0.3333 0.7233

For the density of states at the Fermi level, the calculation gives 2.97 states/eV per cell. The energy relative to the lowest polymorph listed for this composition is 0.129 eV/atom. As for the volume: 90.8 Å³/cell.


Record 4
Crystalline CaTa3 at its relaxed geometry. Source: the Alexandria database, functional PBE.

Cell lengths 3.4270, 3.4270, 7.6531 Å; angles 90.00, 90.00, 90.00 degrees
Positions (direct):
Ca 0.0000 0.0000 0.0000
Ta 0.0000 0.0000 0.5000
Ta 0.5000 0.5000 0.3161
Ta 0.5000 0.5000 0.6839

For the density of states at the Fermi level, the calculation gives 4.50 states/eV per cell. For the calculated total energy, the calculation gives -8.948 eV per atom. As for the volume: 89.9 Å³/cell.


Record 5
Crystalline NpIr2Pt at its relaxed geometry. Source: the Alexandria database, functional PBE.

Cell lengths 6.7948, 6.7948, 6.7948 Å; angles 31.32, 31.32, 31.32 degrees
Positions (direct):
Np 0.0000 0.0000 0.0000
Ir 0.2494 0.2494 0.2494
Ir 0.7506 0.7506 0.7506
Pt 0.5000 0.5000 0.5000

For the density of states at the Fermi level, the calculation gives 5.22 states/eV per cell. The energy relative to the lowest polymorph listed for this composition is 0.505 eV/atom. As for the volume: 75.2 Å³/cell.


Record 6
Crystalline Mn2TcP at its relaxed geometry. Source: the Alexandria database, functional PBE.

Cell lengths 4.7809, 4.7809, 4.7809 Å; angles 145.67, 129.39, 62.58 degrees
Positions (direct):
Mn 0.0000 0.0000 0.0000
Mn 0.7277 0.2277 0.5000
Tc 0.4495 0.4495 0.0000
P 0.2134 0.7134 0.5000

For the density of states at the Fermi level, the calculation gives 3.76 states/eV per cell. The energy relative to the lowest polymorph listed for this composition is 0.079 eV/atom. As for the volume: 47.1 Å³/cell.


Record 7
Crystalline Nd5HoTm3 at its relaxed geometry. Source: the Alexandria database, functional PBE.

Cell lengths 9.6928, 9.6928, 9.6928 Å; angles 122.73, 122.73, 85.34 degrees
Positions (direct):
Nd 0.0000 0.0000 0.0000
Nd 0.0686 0.5686 0.9016
Nd 0.1670 0.0686 0.5000
Nd 0.3330 0.8330 0.9016
Nd 0.4314 0.3330 0.5000
Nd 0.5000 0.5000 0.0000
Nd 0.5686 0.6670 0.5000
Nd 0.6670 0.1670 0.0984
Nd 0.8330 0.9314 0.5000
Nd 0.9314 0.4314 0.0984
Ho 0.2500 0.7500 0.5000
Ho 0.7500 0.2500 0.5000
Tm 0.1095 0.3905 0.5000
Tm 0.2500 0.2500 0.0000
Tm 0.3905 0.8905 0.2809
Tm 0.6095 0.1095 0.7191
Tm 0.7500 0.7500 0.0000
Tm 0.8905 0.6095 0.5000

For the density of states at the Fermi level, the calculation gives 26.10 states/eV per cell. The energy relative to the lowest polymorph listed for this composition is 0.039 eV/atom. As for the volume: 615.2 Å³/cell.


Record 8
Crystalline MnCrRu2 at its relaxed geometry. Source: the Alexandria database, functional PBE.

Cell lengths 4.6052, 4.6052, 4.6052 Å; angles 132.27, 132.27, 69.80 degrees
Positions (direct):
Mn 0.0000 0.0000 0.0000
Cr 0.7500 0.2500 0.5000
Ru 0.2500 0.7500 0.5000
Ru 0.5000 0.5000 0.0000

For the density of states at the Fermi level, the calculation gives 5.85 states/eV per cell. For the calculated total energy, the calculation gives -9.261 eV per atom. As for the volume: 52.4 Å³/cell.


Record 9
Crystalline HfBSb2Ru at its relaxed geometry. Source: the Alexandria database, functional PBE.

Cell lengths 4.6522, 4.6522, 4.3495 Å; angles 90.00, 90.00, 90.00 degrees
Positions (direct):
Hf 0.0000 0.0000 0.0000
B 0.0000 0.0000 0.5000
Sb 0.0000 0.5000 0.5000
Sb 0.5000 0.0000 0.5000
Ru 0.5000 0.5000 0.0000

For the density of states at the Fermi level, the calculation gives 3.57 states/eV per cell. As for the volume: 94.1 Å³/cell. As for the raw formation energy: 0.60 eV/atom.


Record 10
Crystalline CdPtW2 at its relaxed geometry. Source: the Alexandria database, functional PBE.

Cell lengths 5.9172, 5.9172, 5.9172 Å; angles 101.84, 101.84, 126.14 degrees
Positions (direct):
Cd 0.0000 0.0000 0.0000
Cd 0.7500 0.2500 0.5000
Pt 0.2500 0.7500 0.5000
Pt 0.5000 0.5000 0.0000
W 0.1558 0.6250 0.0308
W 0.3750 0.4058 0.5308
W 0.5942 0.1250 0.9692
W 0.8750 0.8442 0.4692

For the density of states at the Fermi level, the calculation gives 6.38 states/eV per cell. For the calculated total energy, the calculation gives -7.325 eV per atom. As for the volume: 149.2 Å³/cell.


Record 11
Crystalline Ce2Ho4Er5 at its relaxed geometry. Source: the Alexandria database, functional PBE.

Cell lengths 14.4627, 14.4627, 14.4627 Å; angles 166.37, 149.51, 33.54 degrees
Positions (direct):
Ce 0.1028 0.1028 0.0000
Ce 0.8972 0.8972 0.0000
Ho 0.3190 0.0000 0.3190
Ho 0.3966 0.3966 0.0000
Ho 0.6034 0.6034 0.0000
Ho 0.6810 0.0000 0.6810
Er 0.0000 0.5000 0.5000
Er 0.0610 0.8038 0.2572
Er 0.4534 0.1962 0.2572
Er 0.5466 0.8038 0.7428
Er 0.9390 0.1962 0.7428

For the density of states at the Fermi level, the calculation gives 25.02 states/eV per cell. The energy relative to the lowest polymorph listed for this composition is 0.287 eV/atom. As for the volume: 361.4 Å³/cell.


Record 12
Crystalline GaGe2Bi2Pt7 at its relaxed geometry. Source: the Alexandria database, functional PBE.

Cell lengths 15.6036, 15.6036, 15.6036 Å; angles 165.42, 165.42, 20.68 degrees
Positions (direct):
Ga 0.0000 0.0000 0.0000
Ge 0.3840 0.3840 0.0000
Ge 0.6160 0.6160 0.0000
Bi 0.2107 0.2107 0.0000
Bi 0.7893 0.7893 0.0000
Pt 0.0654 0.5654 0.5000
Pt 0.3044 0.3044 0.0000
Pt 0.4346 0.9346 0.5000
Pt 0.5000 0.5000 0.0000
Pt 0.5654 0.0654 0.5000
Pt 0.6956 0.6956 0.0000
Pt 0.9346 0.4346 0.5000

For the density of states at the Fermi level, the calculation gives 7.94 states/eV per cell. For the calculated total energy, the calculation gives -5.541 eV per atom. As for the volume: 240.8 Å³/cell.


Record 13
Crystalline Ba2CoAu at its relaxed geometry. Source: the Alexandria database, functional PBE.

Cell lengths 4.6368, 6.4263, 6.4263 Å; angles 43.29, 90.00, 90.00 degrees
Positions (direct):
Ba 0.0000 0.0000 0.0000
Ba 0.5000 0.2827 0.2827
Co 0.5000 0.6026 0.6026
Au 0.0000 0.6974 0.6974

For the density of states at the Fermi level, the calculation gives 5.18 states/eV per cell. The energy relative to the lowest polymorph listed for this composition is 0.000 eV/atom. As for the volume: 131.3 Å³/cell.


Record 14
Crystalline VCrGa2 at its relaxed geometry. Source: the Alexandria database, functional PBE.

Cell lengths 8.6761, 8.6761, 8.6761 Å; angles 18.23, 18.23, 18.23 degrees
Positions (direct):
V 0.0000 0.0000 0.0000
Cr 0.8339 0.8339 0.8339
Ga 0.2485 0.2485 0.2485
Ga 0.4190 0.4190 0.4190

For the density of states at the Fermi level, the calculation gives 4.37 states/eV per cell. The energy relative to the lowest polymorph listed for this composition is 0.099 eV/atom. As for the volume: 55.8 Å³/cell.


Record 15
Crystalline Mn2CuBr at its relaxed geometry. Source: the Alexandria database, functional PBE.

Cell lengths 3.2590, 3.1657, 7.0428 Å; angles 90.00, 90.09, 90.00 degrees
Positions (direct):
Mn 0.0010 0.0000 0.1938
Mn 0.9990 0.0000 0.8062
Cu 0.5000 0.5000 0.0000
Br 0.0000 0.5000 0.5000

For the density of states at the Fermi level, the calculation gives 2.85 states/eV per cell. The energy relative to the lowest polymorph listed for this composition is 0.000 eV/atom. As for the volume: 72.7 Å³/cell. As for the raw formation energy: 0.26 eV/atom.


Record 16
Crystalline YCdIn at its relaxed geometry. Source: the Alexandria database, functional PBE.

Cell lengths 4.5215, 4.5253, 7.5971 Å; angles 90.00, 90.06, 90.00 degrees
Positions (direct):
Y 0.2496 0.2500 0.1760
Y 0.7504 0.7500 0.8240
Cd 0.2499 0.7500 0.5000
Cd 0.7501 0.2500 0.5000
In 0.2505 0.2500 0.7640
In 0.7495 0.7500 0.2360

For the density of states at the Fermi level, the calculation gives 2.88 states/eV per cell. For the calculated total energy, the calculation gives -3.743 eV per atom. As for the volume: 155.4 Å³/cell.


Record 17
Crystalline PrBrO at its relaxed geometry. Source: the Alexandria database, functional PBE.

Cell lengths 3.9797, 3.9797, 4.9221 Å; angles 90.00, 90.00, 120.00 degrees
Positions (direct):
Pr 0.0000 0.0000 0.0000
Br 0.6667 0.3333 0.5000
O 0.3333 0.6667 0.0000

For the density of states at the Fermi level, the calculation gives 0.00 states/eV per cell. As for the volume: 67.5 Å³/cell. As for the raw formation energy: -2.65 eV/atom.